1.
This record from Alexandria via LeMat-Bulk describes a relaxed structure of Dy4Zn2Cd. The functional is PBE.

Results
DOS(E_F)   32.1 states/eV/cell
Distance to the lowest polymorph of the same formula   0.138 eV per atom

The structure in CIF format:
```
data_Dy4Zn2Cd
_space_group_name_H-M_alt 'R -3 m'
_space_group_IT_number 166
_space_group_name_Hall '-R 3 2"'
_cell_length_a 4.9889
_cell_length_b 4.9889
_cell_length_c 26.8500
_cell_angle_alpha 90.00
_cell_angle_beta 90.00
_cell_angle_gamma 120.00
loop_
_atom_site_label
_atom_site_type_symbol
_atom_site_fract_x
_atom_site_fract_y
_atom_site_fract_z
Dy1 Dy 0.0000 0.0000 0.1186
Dy2 Dy 0.0000 0.0000 0.2948
Zn1 Zn 0.0000 0.0000 0.4025
Cd1 Cd 0.0000 0.0000 0.5000
```

2.
This record from Alexandria via LeMat-Bulk describes a relaxed structure of SrAsNO2. The functional is PBE.

Results
DOS(E_F)   2.2 states/eV/cell
E_form (uncorrected)   -1.07 eV/atom

The structure in CIF format:
```
data_SrAsNO2
_space_group_name_H-M_alt 'P 4/m m m'
_space_group_IT_number 123
_space_group_name_Hall '-P 4 2'
_cell_length_a 3.979
_cell_length_b 3.979
_cell_length_c 3.762
_cell_angle_alpha 90.00
_cell_angle_beta 90.00
_cell_angle_gamma 90.00
loop_
_atom_site_label
_atom_site_type_symbol
_atom_site_fract_x
_atom_site_fract_y
_atom_site_fract_z
Sr1 Sr 0.000 0.000 0.000
As1 As 0.500 0.500 0.500
N1 N 0.500 0.500 0.000
O1 O 0.000 0.500 0.500
```

3.
This record from Alexandria via LeMat-Bulk describes a relaxed structure of Mg4SiTe. The functional is PBE.

Results
DOS(E_F)   17.7 states/eV/cell
E_form (uncorrected)   0.19 eV/atom

The structure in CIF format:
```
data_Mg4SiTe
_space_group_name_H-M_alt 'F -4 3 m'
_space_group_IT_number 216
_space_group_name_Hall 'F -4 2 3'
_cell_length_a 8.160
_cell_length_b 8.160
_cell_length_c 8.160
_cell_angle_alpha 90.00
_cell_angle_beta 90.00
_cell_angle_gamma 90.00
loop_
_atom_site_label
_atom_site_type_symbol
_atom_site_fract_x
_atom_site_fract_y
_atom_site_fract_z
Mg1 Mg 0.125 0.125 0.125
Si1 Si 0.250 0.250 0.750
Te1 Te 0.000 0.000 0.500
```

4.
This record from Alexandria via LeMat-Bulk describes a relaxed structure of YSnAu. The functional is PBE.

Results
Calculated total energy   -5.414 eV per atom
DOS(E_F)   0.8 states/eV/cell

The structure in CIF format:
```
data_YSnAu
_space_group_name_H-M_alt 'P 63 m c'
_space_group_IT_number 186
_space_group_name_Hall 'P 6c -2c'
_cell_length_a 4.7119
_cell_length_b 4.7119
_cell_length_c 7.4539
_cell_angle_alpha 90.00
_cell_angle_beta 90.00
_cell_angle_gamma 120.00
loop_
_atom_site_label
_atom_site_type_symbol
_atom_site_fract_x
_atom_site_fract_y
_atom_site_fract_z
Y1 Y 0.0000 0.0000 0.0000
Sn1 Sn 0.3333 0.6667 0.2748
Au1 Au 0.3333 0.6667 0.6744
```

5.
This record from Alexandria via LeMat-Bulk describes a relaxed structure of PrDy4Tm3. The functional is PBE.

Results
DOS(E_F)   25.2 states/eV/cell
Distance to the lowest polymorph of the same formula   0.000 eV per atom

The structure in CIF format:
```
data_PrDy4Tm3
_space_group_name_H-M_alt 'P m n 21'
_space_group_IT_number 31
_cell_length_a 11.244
_cell_length_b 7.250
_cell_length_c 6.257
_cell_angle_alpha 90.00
_cell_angle_beta 90.00
_cell_angle_gamma 90.00
loop_
_space_group_symop_operation_xyz
'x,y,z'
'-x+1/2,-y,z+1/2'
'-x,y,z'
'x+1/2,-y,z+1/2'
loop_
_atom_site_label
_atom_site_type_symbol
_atom_site_fract_x
_atom_site_fract_y
_atom_site_fract_z
Pr1 Pr 0.000 0.125 0.000
Dy1 Dy 0.000 0.375 0.502
Dy2 Dy 0.000 0.626 0.000
Dy3 Dy 0.247 0.625 0.335
Tm1 Tm 0.000 0.875 0.501
Tm2 Tm 0.250 0.125 0.334
```

6.
This record from Alexandria via LeMat-Bulk describes a relaxed structure of LiSi2Rh. The functional is PBE.

Results
DOS(E_F)   1.4 states/eV/cell
Distance to the lowest polymorph of the same formula   0.207 eV per atom
E_form (uncorrected)   -0.28 eV/atom

The structure in CIF format:
```
data_LiSi2Rh
_space_group_name_H-M_alt 'P 4/m m m'
_space_group_IT_number 123
_space_group_name_Hall '-P 4 2'
_cell_length_a 3.139
_cell_length_b 3.139
_cell_length_c 5.292
_cell_angle_alpha 90.00
_cell_angle_beta 90.00
_cell_angle_gamma 90.00
loop_
_atom_site_label
_atom_site_type_symbol
_atom_site_fract_x
_atom_site_fract_y
_atom_site_fract_z
Li1 Li 0.000 0.000 0.000
Si1 Si 0.500 0.500 0.245
Rh1 Rh 0.000 0.000 0.500
```

7.
This record from Alexandria via LeMat-Bulk describes a relaxed structure of Cu2SiPbAu4. The functional is PBE.

Results
DOS(E_F)   7.7 states/eV/cell
E_form (uncorrected)   0.07 eV/atom

The structure in CIF format:
```
data_Cu2SiPbAu4
_space_group_name_H-M_alt 'R -3 m'
_space_group_IT_number 166
_space_group_name_Hall '-R 3 2"'
_cell_length_a 4.4579
_cell_length_b 4.4579
_cell_length_c 25.6018
_cell_angle_alpha 90.00
_cell_angle_beta 90.00
_cell_angle_gamma 120.00
loop_
_atom_site_label
_atom_site_type_symbol
_atom_site_fract_x
_atom_site_fract_y
_atom_site_fract_z
Cu1 Cu 0.0000 0.0000 0.2408
Si1 Si 0.0000 0.0000 0.5000
Pb1 Pb 0.0000 0.0000 0.0000
Au1 Au 0.0000 0.0000 0.1329
Au2 Au 0.0000 0.0000 0.3979
```

8.
This record from Alexandria via LeMat-Bulk describes a relaxed structure of MnBAu. The functional is PBE.

Results
Calculated total energy   -6.254 eV per atom
DOS(E_F)   3.4 states/eV/cell

The structure in CIF format:
```
data_MnBAu
_space_group_name_H-M_alt 'A m m 2'
_space_group_IT_number 38
_cell_length_a 2.892
_cell_length_b 2.880
_cell_length_c 8.785
_cell_angle_alpha 90.00
_cell_angle_beta 90.00
_cell_angle_gamma 90.00
loop_
_space_group_symop_operation_xyz
'x,y,z'
'-x,-y,z'
'-x,y,z'
'x,-y,z'
'x,y+1/2,z+1/2'
'-x,-y+1/2,z+1/2'
'-x,y+1/2,z+1/2'
'x,-y+1/2,z+1/2'
loop_
_atom_site_label
_atom_site_type_symbol
_atom_site_fract_x
_atom_site_fract_y
_atom_site_fract_z
Mn1 Mn 0.000 0.000 0.000
B1 B 0.500 0.000 0.461
Au1 Au 0.500 0.000 0.732
```

9.
This record from Alexandria via LeMat-Bulk describes a relaxed structure of ZrInTc2. The functional is PBE.

Results
DOS(E_F)   20.7 states/eV/cell
Distance to the lowest polymorph of the same formula   0.125 eV per atom

The structure in CIF format:
```
data_ZrInTc2
_space_group_name_H-M_alt 'F m -3 m'
_space_group_IT_number 225
_space_group_name_Hall '-F 4 2 3'
_cell_length_a 6.552
_cell_length_b 6.552
_cell_length_c 6.552
_cell_angle_alpha 90.00
_cell_angle_beta 90.00
_cell_angle_gamma 90.00
loop_
_atom_site_label
_atom_site_type_symbol
_atom_site_fract_x
_atom_site_fract_y
_atom_site_fract_z
Zr1 Zr 0.000 0.000 0.000
In1 In 0.000 0.000 0.500
Tc1 Tc 0.250 0.250 0.250
```

10.
This record from Alexandria via LeMat-Bulk describes a relaxed structure of La3Sm2TmS6. The functional is PBE.

Results
DOS(E_F)   11.5 states/eV/cell
E_form (uncorrected)   -2.09 eV/atom

The structure in CIF format:
```
data_La3Sm2TmS6
_space_group_name_H-M_alt 'C 1 2/m 1'
_space_group_IT_number 12
_cell_length_a 6.991
_cell_length_b 12.136
_cell_length_c 7.062
_cell_angle_alpha 90.00
_cell_angle_beta 109.37
_cell_angle_gamma 90.00
loop_
_space_group_symop_operation_xyz
'x,y,z'
'-x,-y,-z'
'-x,y,-z'
'x,-y,z'
'x+1/2,y+1/2,z'
'-x+1/2,-y+1/2,-z'
'-x+1/2,y+1/2,-z'
'x+1/2,-y+1/2,z'
loop_
_atom_site_label
_atom_site_type_symbol
_atom_site_fract_x
_atom_site_fract_y
_atom_site_fract_z
La1 La 0.000 0.000 0.000
La2 La 0.000 0.330 0.000
Sm1 Sm 0.000 0.167 0.500
Tm1 Tm 0.000 0.500 0.500
S1 S 0.239 0.338 0.733
S2 S 0.245 0.500 0.264
```

11.
This record from Alexandria via LeMat-Bulk describes a relaxed structure of Dy3Cd2Ag6. The functional is PBE.

Results
Calculated total energy   -3.066 eV per atom
DOS(E_F)   14.6 states/eV/cell

The structure in CIF format:
```
data_Dy3Cd2Ag6
_space_group_name_H-M_alt 'I 4/m m m'
_space_group_IT_number 139
_space_group_name_Hall '-I 4 2'
_cell_length_a 3.938
_cell_length_b 3.938
_cell_length_c 32.906
_cell_angle_alpha 90.00
_cell_angle_beta 90.00
_cell_angle_gamma 90.00
loop_
_atom_site_label
_atom_site_type_symbol
_atom_site_fract_x
_atom_site_fract_y
_atom_site_fract_z
Dy1 Dy 0.000 0.000 0.000
Dy2 Dy 0.000 0.000 0.182
Cd1 Cd 0.000 0.000 0.364
Ag1 Ag 0.000 0.000 0.273
Ag2 Ag 0.000 0.500 0.072
```

12.
This record from Alexandria via LeMat-Bulk describes a relaxed structure of YCuIr2. The functional is PBE.

Results
DOS(E_F)   4.7 states/eV/cell
Distance to the lowest polymorph of the same formula   0.108 eV per atom

The structure in CIF format:
```
data_YCuIr2
_space_group_name_H-M_alt 'C 1 2/m 1'
_space_group_IT_number 12
_cell_length_a 9.149
_cell_length_b 3.012
_cell_length_c 5.013
_cell_angle_alpha 90.00
_cell_angle_beta 102.75
_cell_angle_gamma 90.00
loop_
_space_group_symop_operation_xyz
'x,y,z'
'-x,-y,-z'
'-x,y,-z'
'x,-y,z'
'x+1/2,y+1/2,z'
'-x+1/2,-y+1/2,-z'
'-x+1/2,y+1/2,-z'
'x+1/2,-y+1/2,z'
loop_
_atom_site_label
_atom_site_type_symbol
_atom_site_fract_x
_atom_site_fract_y
_atom_site_fract_z
Y1 Y 0.000 0.000 0.000
Cu1 Cu 0.000 0.500 0.500
Ir1 Ir 0.242 0.000 0.711
```

Q: What is the formula in the fourth record?
A: YSnAu

Q: The lowest DOS(E_F) belongs to which entry?
A: YSnAu